Record 1
Here is a relaxed MoRh4Br crystal from Alexandria via LeMat-Bulk. Energies are from PBE.

Unit cell a=5.1668 b=5.1668 c=5.1668 alpha=60.00 beta=60.00 gamma=60.00
Closest atoms and distances in Å follow each position.
Element x y z (fractional)
Mo: 0.0000 0.0000 0.0000  12 Rh 3.03, 4 Br 3.16
Rh: 0.1240 0.6253 0.6253  6 Rh 2.58-2.59
Rh: 0.6253 0.1240 0.6253  6 Rh 2.58-2.59
Rh: 0.6253 0.6253 0.1240  6 Rh 2.58-2.59
Rh: 0.6253 0.6253 0.6253  6 Rh 2.58-2.59
Br: 0.2500 0.2500 0.2500  12 Rh 3.03, 4 Mo 3.16

Calculated values
- Fermi-level density of states (states/eV/cell) = 7.1
- formation energy from raw total energies (eV per atom) = 0.691


Record 2
Here is a relaxed Mo3RhBr crystal from Alexandria via LeMat-Bulk. Energies are from PBE.

Unit cell a=4.5505 b=4.5505 c=4.5505 alpha=90.00 beta=90.00 gamma=90.00
Closest atoms and distances in Å follow each position.
Element x y z (fractional)
Mo: 0.0000 0.0000 0.5000  2 Br 2.28
Mo: 0.0000 0.5000 0.0000  2 Br 2.28
Mo: 0.5000 0.0000 0.0000  2 Br 2.28
Rh: 0.5000 0.5000 0.5000  12 Mo 3.22
Br: 0.0000 0.0000 0.0000  6 Mo 2.28

Calculated values
- Fermi-level density of states (states/eV/cell) = 9.0
- energy relative to the lowest polymorph listed for this composition (meV/atom) = 0.0
- formation energy from raw total energies (eV per atom) = 1.710


Record 3
Here is a relaxed Mo2RhBr crystal from Alexandria via LeMat-Bulk. Energies are from PBE.

Unit cell a=5.0846 b=5.0846 c=2.9195 alpha=98.13 beta=98.13 gamma=117.04
Closest atoms and distances in Å follow each position.
Element x y z (fractional)
Mo: 0.0000 0.5000 0.0000  4 Mo 2.66-2.92, 2 Br 2.75, 2 Rh 2.75
Mo: 0.5000 0.0000 0.0000  4 Mo 2.66-2.92, 2 Br 2.75, 2 Rh 2.75
Rh: 0.0000 0.0000 0.5000  2 Br 2.66, 4 Mo 2.75, 2 Rh 2.92
Br: 0.5000 0.5000 0.5000  2 Rh 2.66, 4 Mo 2.75, 2 Br 2.92

Calculated values
- Fermi-level density of states (states/eV/cell) = 3.8
- energy relative to the lowest polymorph listed for this composition (meV/atom) = 450.6
- formation energy from raw total energies (eV per atom) = 0.723